A plane-wave DFT calculation with PBE-GGA was carried out for LaPm3Er2 after structural relaxation.

The calculation puts the density of states at the Fermi level at 22.2 states/eV per cell. The formation energy is 30 kJ/mol of atoms. The value obtained for the energy above the most stable polymorph in this dataset is 0.0 meV/atom.

The space group is Immm (No. 71) and the conventional cell measures 3.491, 5.961 and 19.791 Å, with angles of 90.00, 90.00 and 90.00 degrees. Symmetry generates all atoms from La at (0.000, 0.000, 0.000), Pm at (0.000, 0.000, 0.193), Pm at (0.000, 0.500, 0.000) and Er at (0.000, 0.000, 0.362).

---

A plane-wave DFT calculation with PBE-GGA was carried out for NbIn3Ag after structural relaxation.

The calculation puts the density of states at the Fermi level at 3.1 states/eV per cell. The formation energy is 93 kJ/mol of atoms. The value obtained for the energy above the most stable polymorph in this dataset is 210.6 meV/atom.

The space group is Pm-3m (No. 221) and the conventional cell measures 5.194, 5.194 and 5.194 Å, with angles of 90.00, 90.00 and 90.00 degrees. Symmetry generates all atoms from Nb at (0.000, 0.000, 0.000), In at (0.000, 0.500, 0.500) and Ag at (0.500, 0.500, 0.500).

---

A plane-wave DFT calculation with PBE-GGA was carried out for IrPt2 after structural relaxation.

The calculation puts the density of states at the Fermi level at 20.0 states/eV per cell. The formation energy is 56 kJ/mol of atoms. The value obtained for the energy above the most stable polymorph in this dataset is 544.8 meV/atom.

The space group is P6_3/mmc (No. 194) and the conventional cell measures 5.1562, 5.1562 and 8.7616 Å, with angles of 90.00, 90.00 and 120.00 degrees. Symmetry generates all atoms from Ir at (0.3333, 0.6667, 0.0138), Pt at (0.0000, 0.0000, 0.0000) and Pt at (0.1685, 0.3369, 0.7500).

---

A plane-wave DFT calculation with PBE-GGA was carried out for Ca2PmNd2Y6 after structural relaxation.

The calculation puts the density of states at the Fermi level at 35.0 states/eV per cell. The formation energy is 16 kJ/mol of atoms.

The space group is C2/m (No. 12) and the conventional cell measures 6.208, 10.862 and 12.242 Å, with angles of 90.00, 101.19 and 90.00 degrees. Symmetry generates all atoms from Ca at (0.000, 0.164, 0.000), Pm at (0.000, 0.000, 0.500), Nd at (0.000, 0.333, 0.500), Y at (0.243, 0.000, 0.261) and Y at (0.243, 0.334, 0.257).

---

A plane-wave DFT calculation with PBE-GGA was carried out for LiZnRh2 after structural relaxation.

The calculation puts the density of states at the Fermi level at 16.3 states/eV per cell. The formation energy is -20 kJ/mol of atoms.

The space group is R3m (No. 160, hexagonal axes) and the conventional cell measures 2.7583, 2.7583 and 25.2760 Å, with angles of 90.00, 90.00 and 120.00 degrees. Symmetry generates all atoms from Li at (0.0000, 0.0000, 0.0000), Zn at (0.0000, 0.0000, 0.1668), Rh at (0.0000, 0.0000, 0.4180) and Rh at (0.0000, 0.0000, 0.5823).

---

A plane-wave DFT calculation with PBE-GGA was carried out for HfNb2B4 after structural relaxation.

The calculation puts the density of states at the Fermi level at 1.7 states/eV per cell. The formation energy is -85 kJ/mol of atoms.

The space group is Immm (No. 71) and the conventional cell measures 3.169, 3.378 and 14.223 Å, with angles of 90.00, 90.00 and 90.00 degrees. Symmetry generates all atoms from Hf at (0.000, 0.000, 0.000), Nb at (0.000, 0.500, 0.314), B at (0.000, 0.000, 0.435) and B at (0.000, 0.500, 0.133).